No. 1
{"formula": "Sm2MnGa3Cu12", "functional": "PBE", "state": "relaxed", "total_energy_ev_per_atom": -4.152, "rho_g_cm3": 7.396, "e_form_ev_per_atom": 0.12, "total_magnetization_mub_per_cell": 3.67, "lattice": [[2.9191, 1.6853, 10.0959], [-2.9191, 1.6853, 10.0959], [0.0000, -3.3707, 10.0959]], "species": ["Sm", "Sm", "Mn", "Ga", "Ga", "Ga", "Cu", "Cu", "Cu", "Cu", "Cu", "Cu", "Cu", "Cu", "Cu", "Cu", "Cu", "Cu"], "frac_coords": [[0.1442, 0.1442, 0.1442], [0.8558, 0.8558, 0.8558], [0.5000, 0.5000, 0.5000], [0.0000, 0.5000, 0.5000], [0.5000, 0.0000, 0.5000], [0.5000, 0.5000, 0.0000], [0.0860, 0.0860, 0.6722], [0.0860, 0.6722, 0.0860], [0.1188, 0.5966, 0.5966], [0.3278, 0.9140, 0.9140], [0.4034, 0.4034, 0.8812], [0.4034, 0.8812, 0.4034], [0.5966, 0.1188, 0.5966], [0.5966, 0.5966, 0.1188], [0.6722, 0.0860, 0.0860], [0.8812, 0.4034, 0.4034], [0.9140, 0.3278, 0.9140], [0.9140, 0.9140, 0.3278]]}



No. 2
{"formula": "YGa3Pd", "functional": "PBE", "state": "relaxed", "total_energy_ev_per_atom": -4.394, "rho_g_cm3": 6.106, "e_form_ev_per_atom": -0.25, "total_magnetization_mub_per_cell": 0.00, "e_above_lowest_polymorph_mev_per_atom": 412, "lattice": [[4.7915, 0.0000, 0.0000], [0.0000, 4.7915, 0.0000], [0.0000, 0.0000, 4.7915]], "species": ["Y", "Ga", "Ga", "Ga", "Pd"], "frac_coords": [[0.0000, 0.0000, 0.0000], [0.0000, 0.5000, 0.5000], [0.5000, 0.0000, 0.5000], [0.5000, 0.5000, 0.0000], [0.5000, 0.5000, 0.5000]]}